Material: AcTbPr2Y6
Method: DFT, PBE-GGA
State: relaxed

Properties
formation energy: 1.24 eV/f.u.
mass density: 5.7 g/cm3
space group: C2/c (15)
magnetization: 0.00 μB/cell

abc: 9.7746 8.9966 8.9966
angles: 118.00 93.41 93.41
With the nearest neighbours (Å) after each atom.
Element x y z (fractional)
1 Y 0.5586 0.7445 0.1296  7 Y 3.48-3.79, 1 Pr 3.61, 1 Tb 3.84, 1 Ac 3.85
2 Y 0.6841 0.0190 0.5636  5 Y 3.30-3.69, 2 Pr 3.48-3.59, 1 Tb 3.55
3 Y 0.3159 0.9810 0.4364  5 Y 3.30-3.69, 2 Pr 3.48-3.59, 1 Tb 3.55
4 Y 0.0586 0.1296 0.7445  7 Y 3.48-3.79, 1 Pr 3.61, 1 Tb 3.84, 1 Ac 3.85
5 Y 0.1841 0.5636 0.0190  5 Y 3.30-3.69, 2 Pr 3.48-3.59, 1 Tb 3.55
6 Y 0.1150 0.7085 0.4943  4 Y 3.30-3.52, 3 Pr 3.32-3.50, 2 Tb 3.49-3.59
7 Y 0.3850 0.5057 0.2915  4 Y 3.30-3.52, 3 Pr 3.32-3.50, 2 Tb 3.49-3.59
8 Y 0.9414 0.8704 0.2555  7 Y 3.48-3.79, 1 Pr 3.61, 1 Tb 3.84, 1 Ac 3.85
9 Y 0.8159 0.4364 0.9810  5 Y 3.30-3.69, 2 Pr 3.48-3.59, 1 Tb 3.55
10 Y 0.4414 0.2555 0.8704  7 Y 3.48-3.79, 1 Pr 3.61, 1 Tb 3.84, 1 Ac 3.85
11 Y 0.8850 0.2915 0.5057  4 Y 3.30-3.52, 3 Pr 3.32-3.50, 2 Tb 3.49-3.59
12 Y 0.6150 0.4943 0.7085  4 Y 3.30-3.52, 3 Pr 3.32-3.50, 2 Tb 3.49-3.59
13 Ac 0.7500 0.0248 0.9752  4 Pr 3.46-3.55, 4 Y 3.70-3.85
14 Ac 0.2500 0.9752 0.0248  4 Pr 3.46-3.55, 4 Y 3.70-3.85
15 Tb 0.2500 0.4094 0.5906  8 Y 3.49-3.84, 2 Pr 3.63
16 Tb 0.7500 0.5906 0.4094  8 Y 3.49-3.84, 2 Pr 3.63
17 Pr 0.9516 0.6917 0.8036  6 Y 3.32-3.61, 2 Ac 3.46-3.55, 1 Tb 3.63
18 Pr 0.4516 0.8036 0.6917  6 Y 3.32-3.61, 2 Ac 3.46-3.55, 1 Tb 3.63
19 Pr 0.0484 0.3083 0.1964  6 Y 3.32-3.61, 2 Ac 3.46-3.55, 1 Tb 3.63
20 Pr 0.5484 0.1964 0.3083  6 Y 3.32-3.61, 2 Ac 3.46-3.55, 1 Tb 3.63



Material: AcTb3Pr2Y6
Method: DFT, PBE-GGA
State: relaxed

Properties
formation energy: 0.31 eV/f.u.
mass density: 6.2 g/cm3
space group: C2/m (12)
magnetization: 0.00 μB/cell

abc: 6.2990 6.2990 11.9355
angles: 95.03 95.03 119.98
With the nearest neighbours (Å) after each atom.
Element x y z (fractional)
1 Pr 0.6667 0.3333 0.0000  3 Pr 3.64, 3 Ac 3.64, 6 Y 3.66-3.67
2 Pr 0.3333 0.6667 0.0000  3 Pr 3.64, 3 Ac 3.64, 6 Y 3.66-3.67
3 Y 0.5791 0.9144 0.7442  3 Tb 3.55-3.56, 6 Y 3.63-3.66, 2 Pr 3.66, 1 Ac 3.67
4 Y 0.7504 0.7504 0.2560  3 Tb 3.55-3.56, 6 Y 3.63-3.66, 2 Pr 3.67, 1 Ac 3.67
5 Y 0.4209 0.0856 0.2558  3 Tb 3.55-3.56, 6 Y 3.63-3.66, 2 Pr 3.66, 1 Ac 3.67
6 Y 0.9144 0.5791 0.7442  3 Tb 3.55-3.56, 6 Y 3.63-3.66, 2 Pr 3.66, 1 Ac 3.67
7 Y 0.2496 0.2496 0.7440  3 Tb 3.55-3.56, 6 Y 3.63-3.66, 2 Pr 3.67, 1 Ac 3.67
8 Y 0.0856 0.4209 0.2558  3 Tb 3.55-3.56, 6 Y 3.63-3.66, 2 Pr 3.66, 1 Ac 3.67
9 Ac 0.0000 0.0000 0.0000  6 Pr 3.64, 6 Y 3.67
10 Tb 0.1669 0.8331 0.5000  6 Y 3.55-3.56, 6 Tb 3.63-3.64
11 Tb 0.5000 0.5000 0.5000  6 Y 3.55-3.56, 6 Tb 3.63-3.64
12 Tb 0.8331 0.1669 0.5000  6 Y 3.55-3.56, 6 Tb 3.63-3.64



Material: Ac2TbPr5Y
Method: DFT, PBE-GGA
State: relaxed

Properties
formation energy: 0.99 eV/f.u.
mass density: 6.9 g/cm3
space group: Cmcm (63)
magnetization: 0.00 μB/cell

abc: 5.6662 11.7530 10.5318
angles: 90.00 90.00 103.95
With the nearest neighbours (Å) after each atom.
Element x y z (fractional)
1 Tb 0.2177 0.4355 0.0081  7 Pr 3.47-3.67, 2 Ac 3.61, 2 Y 3.86
2 Tb 0.7823 0.5645 0.5081  7 Pr 3.47-3.67, 2 Ac 3.61, 2 Y 3.86
3 Pr 0.3786 0.7572 0.0083  1 Tb 3.67, 4 Ac 3.78-3.79, 6 Pr 3.82-4.01
4 Pr 0.6214 0.2428 0.5083  1 Tb 3.67, 4 Ac 3.78-3.79, 6 Pr 3.82-4.01
5 Pr 0.9972 0.9945 0.5083  2 Y 3.64, 4 Ac 3.69-3.78, 6 Pr 3.87-4.01
6 Pr 0.5000 0.9999 0.7583  2 Y 3.53, 6 Pr 3.82-3.87, 4 Ac 3.88
7 Pr 0.2783 0.5566 0.3182  2 Pr 3.36, 1 Y 3.37, 3 Tb 3.47-3.55, 1 Ac 3.74
8 Pr 0.7217 0.4434 0.8182  2 Pr 3.36, 1 Y 3.37, 3 Tb 3.47-3.55, 1 Ac 3.74
9 Pr 0.2781 0.5563 0.6979  2 Pr 3.36, 1 Y 3.37, 3 Tb 3.47-3.55, 1 Ac 3.74
10 Pr 0.0028 0.0055 0.0083  2 Y 3.64, 4 Ac 3.69-3.78, 6 Pr 3.87-4.01
11 Pr 0.7219 0.4437 0.1979  2 Pr 3.36, 1 Y 3.37, 3 Tb 3.47-3.55, 1 Ac 3.74
12 Pr 0.5000 0.0001 0.2583  2 Y 3.53, 6 Pr 3.82-3.87, 4 Ac 3.88
13 Y 0.6028 0.2055 0.0082  6 Pr 3.37-3.64
14 Y 0.3972 0.7945 0.5082  6 Pr 3.37-3.64
15 Ac 0.8841 0.7682 0.7703  1 Tb 3.61, 9 Pr 3.69-3.88, 2 Y 3.97
16 Ac 0.8842 0.7685 0.2463  1 Tb 3.61, 9 Pr 3.69-3.88, 2 Y 3.97
17 Ac 0.1159 0.2318 0.2703  1 Tb 3.61, 9 Pr 3.69-3.88, 2 Y 3.97
18 Ac 0.1158 0.2315 0.7463  1 Tb 3.61, 9 Pr 3.69-3.88, 2 Y 3.97



Material: AcTb2Pr3Y6
Method: DFT, PBE-GGA
State: relaxed

Properties
formation energy: 0.24 eV/f.u.
mass density: 6.1 g/cm3
space group: C2/m (12)
magnetization: 0.00 μB/cell

abc: 6.3117 6.3117 11.9803
angles: 95.02 95.02 119.99
With the nearest neighbours (Å) after each atom.
Element x y z (fractional)
1 Y 0.7481 0.7481 0.2506  3 Pr 3.61-3.62, 2 Tb 3.63, 6 Y 3.63-3.67, 1 Ac 3.64
2 Y 0.4202 0.0843 0.2504  3 Pr 3.61-3.63, 2 Tb 3.62, 6 Y 3.63-3.67, 1 Ac 3.64
3 Y 0.2519 0.2519 0.7494  3 Pr 3.61-3.62, 2 Tb 3.63, 6 Y 3.63-3.67, 1 Ac 3.64
4 Y 0.0843 0.4202 0.2504  3 Pr 3.61-3.63, 2 Tb 3.62, 6 Y 3.63-3.67, 1 Ac 3.64
5 Y 0.9157 0.5798 0.7496  3 Pr 3.61-3.63, 2 Tb 3.62, 6 Y 3.63-3.67, 1 Ac 3.64
6 Y 0.5798 0.9157 0.7496  3 Pr 3.61-3.63, 2 Tb 3.62, 6 Y 3.63-3.67, 1 Ac 3.64
7 Pr 0.5000 0.5000 0.5000  6 Y 3.61-3.62, 6 Pr 3.64-3.65
8 Pr 0.8330 0.1670 0.5000  6 Y 3.61-3.63, 6 Pr 3.64-3.65
9 Pr 0.1670 0.8330 0.5000  6 Y 3.61-3.63, 6 Pr 3.64-3.65
10 Tb 0.6667 0.3333 0.0000  6 Y 3.62-3.63, 3 Ac 3.64, 3 Tb 3.64-3.65
11 Tb 0.3333 0.6667 0.0000  6 Y 3.62-3.63, 3 Ac 3.64, 3 Tb 3.64-3.65
12 Ac 0.0000 0.0000 0.0000  6 Y 3.64, 6 Tb 3.64



Material: Ac2Tb3PrY6
Method: DFT, PBE-GGA
State: relaxed

Properties
formation energy: 0.45 eV/f.u.
mass density: 6.5 g/cm3
space group: C2/m (12)
magnetization: 0.00 μB/cell

abc: 6.3553 6.3553 11.9608
angles: 95.07 95.07 119.99
With the nearest neighbours (Å) after each atom.
Element x y z (fractional)
1 Y 0.9136 0.5821 0.7424  3 Tb 3.55-3.56, 6 Y 3.65-3.68, 1 Pr 3.69, 2 Ac 3.70
2 Y 0.0864 0.4179 0.2576  3 Tb 3.55-3.56, 6 Y 3.65-3.68, 1 Pr 3.69, 2 Ac 3.70
3 Y 0.5821 0.9136 0.7424  3 Tb 3.55-3.56, 6 Y 3.65-3.68, 1 Pr 3.69, 2 Ac 3.70
4 Y 0.4179 0.0864 0.2576  3 Tb 3.55-3.56, 6 Y 3.65-3.68, 1 Pr 3.69, 2 Ac 3.70
5 Y 0.2451 0.2451 0.7425  3 Tb 3.55-3.56, 6 Y 3.65-3.68, 1 Pr 3.69, 2 Ac 3.70
6 Y 0.7549 0.7549 0.2575  3 Tb 3.55-3.56, 6 Y 3.65-3.68, 1 Pr 3.69, 2 Ac 3.70
7 Pr 0.0000 0.0000 0.0000  6 Ac 3.67, 6 Y 3.69
8 Ac 0.3333 0.6667 0.0000  3 Pr 3.67, 3 Ac 3.67, 6 Y 3.70
9 Ac 0.6667 0.3333 0.0000  3 Pr 3.67, 3 Ac 3.67, 6 Y 3.70
10 Tb 0.8335 0.1665 0.5000  6 Y 3.55-3.56, 6 Tb 3.67
11 Tb 0.5000 0.5000 0.5000  6 Y 3.55-3.56, 6 Tb 3.67
12 Tb 0.1665 0.8335 0.5000  6 Y 3.55-3.56, 6 Tb 3.67



Material: AcPrTc
Method: DFT, PBE-GGA
State: relaxed

Properties
formation energy: 2.74 eV/f.u.
mass density: 7.8 g/cm3
space group: Fmmm (69)
magnetization: 0.30 μB/cell

abc: 6.1515 4.7804 9.3451
angles: 77.77 70.78 49.95
With the nearest neighbours (Å) after each atom.
Element x y z (fractional)
1 Pr 0.4116 0.0000 0.1769  2 Tc 2.99, 1 Pr 3.12
2 Pr 0.5884 0.0000 0.8231  2 Tc 2.99, 1 Pr 3.12
3 Ac 0.2500 0.5000 0.5000  2 Ac 3.08
4 Ac 0.7500 0.5000 0.5000  2 Ac 3.08
5 Tc 0.1513 0.6974 0.0000  1 Tc 2.21
6 Tc 0.8487 0.3026 0.0000  1 Tc 2.21



Material: AcPr3Tc
Method: DFT, PBE-GGA
State: relaxed

Properties
formation energy: 0.88 eV/f.u.
mass density: 6.9 g/cm3
space group: Pm-3m (221)
magnetization: 0.02 μB/cell

abc: 5.6416 5.6416 5.6416
angles: 90.00 90.00 90.00
With the nearest neighbours (Å) after each atom.
Element x y z (fractional)
1 Ac 0.5000 0.5000 0.5000  12 Pr 3.99
2 Pr 0.5000 0.0000 0.0000  2 Tc 2.82
3 Pr 0.0000 0.0000 0.5000  2 Tc 2.82
4 Pr 0.0000 0.5000 0.0000  2 Tc 2.82
5 Tc 0.0000 0.0000 0.0000  6 Pr 2.82



Material: Ac3PrTc
Method: DFT, PBE-GGA
State: relaxed

Properties
formation energy: 0.82 eV/f.u.
mass density: 7.9 g/cm3
space group: Pm-3m (221)
magnetization: 0.00 μB/cell

abc: 5.7806 5.7806 5.7806
angles: 90.00 90.00 90.00
With the nearest neighbours (Å) after each atom.
Element x y z (fractional)
1 Ac 0.5000 0.0000 0.0000  2 Tc 2.89
2 Ac 0.0000 0.5000 0.0000  2 Tc 2.89
3 Ac 0.0000 0.0000 0.5000  2 Tc 2.89
4 Tc 0.0000 0.0000 0.0000  6 Ac 2.89
5 Pr 0.5000 0.5000 0.5000  12 Ac 4.09



The Fermi-level density of states results, record by record, are as follows: 32.344, 15.930, 26.519, 14.809, 15.752, 9.290, 8.629, 7.008 states/eV/cell.
The final energy results, record by record, are as follows: -111.693, -66.031, -84.433, -66.255, -65.220, -33.025, -27.931, -26.651 eV/cell.